As3PPt: relaxed, PBE.

M_tot in μB/cell: 0.00
E_tot in eV/atom: -4.189
Symmetry: Pm-3m (221)
Energy of formation from the pure elements in meV/atom: 891
Offset from the most stable computed form in meV per atom: 47

Cell lengths 4.887, 4.887, 4.887 Å; angles 90.00, 90.00, 90.00 degrees
Fractional positions:
1 As 0.500 0.000 0.000
2 As 0.000 0.500 0.000
3 Pt 0.000 0.000 0.000
4 As 0.000 0.000 0.500
5 P 0.500 0.500 0.500

AsP2Pt: relaxed, PBE.

M_tot in μB/cell: 0.00
E_tot in eV/atom: -5.491
Symmetry: I-42d (122)
Energy of formation from the pure elements in meV/atom: -114

Cell lengths 5.489, 5.489, 6.714 Å; angles 65.87, 65.87, 90.00 degrees
Fractional positions:
1 As 0.500 0.500 0.000
2 P 0.104 0.625 0.250
3 P 0.875 0.896 0.750
4 Pt 0.000 0.000 0.000
5 Pt 0.750 0.250 0.500
6 P 0.646 0.125 0.250
7 As 0.250 0.750 0.500
8 P 0.375 0.354 0.750

AsP2Pt: relaxed, PBE.

M_tot in μB/cell: 0.00
E_tot in eV/atom: -5.420
Symmetry: P4mm (99)
Energy of formation from the pure elements in meV/atom: -43

Cell lengths 3.602, 3.607, 5.024 Å; angles 90.00, 90.00, 90.00 degrees
Fractional positions:
1 As 0.500 0.500 0.872
2 P 0.000 0.000 0.876
3 P 0.500 0.500 0.378
4 Pt 0.000 0.000 0.374

AsP2Pt: relaxed, PBE.

M_tot in μB/cell: 0.00
E_tot in eV/atom: -5.552
Symmetry: P2/m (10)
Energy of formation from the pure elements in meV/atom: -175

Cell lengths 3.566, 4.443, 4.465 Å; angles 73.39, 90.00, 90.00 degrees
Fractional positions:
1 As 0.500 0.750 0.750
2 Pt 0.500 0.250 0.250
3 P 0.000 0.527 0.437
4 P 0.000 0.973 0.063

AsP2Pt: relaxed, PBE.

M_tot in μB/cell: 0.00
E_tot in eV/atom: -4.981
Symmetry: I-4m2 (119)
Energy of formation from the pure elements in meV/atom: 396

Cell lengths 4.372, 4.372, 4.372 Å; angles 113.28, 113.28, 102.09 degrees
Fractional positions:
1 As 0.750 0.250 0.500
2 P 0.250 0.750 0.500
3 P 0.000 0.000 0.000
4 Pt 0.500 0.500 0.000

AsP2Pt: relaxed, PBE.

M_tot in μB/cell: 0.00
E_tot in eV/atom: -4.992
Symmetry: Pmmm (47)
Energy of formation from the pure elements in meV/atom: 385

Cell lengths 2.845, 4.735, 4.676 Å; angles 90.00, 90.00, 90.00 degrees
Fractional positions:
1 P 0.000 0.000 0.000
2 Pt 0.500 0.000 0.500
3 As 0.000 0.500 0.500
4 P 0.500 0.500 0.000

Question: Look up the energy of formation from the pure elements of the first one.
Answer: 891 meV/atom